A plane-wave DFT calculation with GGA-PBE was carried out for a relaxed structure of CoRe2Si.

Calculated values
N(E_F) (states/eV per atom): 0.769
Magnetization (Bohr magnetons per cell): 0.00
Formation energy from raw total energies (eV/atom): -0.044

Cell: 2.7472 2.7472 24.5510 Å, 90.00 90.00 120.00°
Space group R3m (No. 160, hexagonal axes)
Unique sites:
Co1 0.0000 0.0000 0.0000 x3
Re1 0.0000 0.0000 0.2463 x3
Re2 0.0000 0.0000 0.4909 x3
Si1 0.0000 0.0000 0.7384 x3



A plane-wave DFT calculation with GGA-PBE was carried out for a relaxed structure of Rb2NaIn12Au3.

Calculated values
N(E_F) (states/eV per atom): 0.366
Magnetization (Bohr magnetons per cell): 0.00
Formation energy (eV/atom): 0.031

Cell: 10.6843 10.6843 18.5266 Å, 90.00 90.00 120.00°
Space group R-3m (No. 166, hexagonal axes)
Unique sites:
Rb1 0.0000 0.0000 0.1012 x6
Na1 0.0000 0.0000 0.5000 x3
In1 0.0058 0.5029 0.1476 x18
In2 0.0568 0.5284 0.3225 x18
Au1 0.0000 0.5000 0.0000 x9



A plane-wave DFT calculation with GGA-PBE was carried out for a relaxed structure of Pr6Fe13Si.

Calculated values
N(E_F) (states/eV per atom): 1.078
Magnetization (Bohr magnetons per cell): 107.65
Formation energy from raw total energies (eV/atom): -0.054

Cell: 8.022 8.022 23.195 Å, 90.00 90.00 90.00°
Space group I4/mcm (No. 140)
Unique sites:
Pr1 0.000 0.000 0.109 x8
Pr2 0.167 0.333 0.189 x16
Fe1 0.000 0.500 0.000 x4
Fe2 0.066 0.209 0.500 x16
Fe3 0.113 0.387 0.405 x16
Fe4 0.179 0.321 0.059 x16
Si1 0.000 0.000 0.250 x4



A plane-wave DFT calculation with GGA-PBE was carried out for a relaxed structure of Sr6Li23.

Calculated values
N(E_F) (states/eV per atom): 0.927
Magnetization (Bohr magnetons per cell): 0.00
Formation energy (eV/atom): 0.008

Cell: 14.763 14.763 14.763 Å, 90.00 90.00 90.00°
Space group Fm-3m (No. 225)
Unique sites:
Sr1 0.000 0.000 0.206 x24
Li1 0.000 0.000 0.500 x4
Li2 0.000 0.250 0.250 x24
Li3 0.122 0.122 0.378 x32
Li4 0.178 0.178 0.178 x32



A plane-wave DFT calculation with GGA-PBE was carried out for a relaxed structure of RbHf3Hg.

Calculated values
N(E_F) (states/eV per atom): 1.529
Distance to the lowest polymorph of the same formula (meV per atom): 918
Magnetization (Bohr magnetons per cell): 1.15
Formation energy (eV/atom): 2.283

Cell: 5.055 5.055 5.055 Å, 90.00 90.00 90.00°
Space group Pm-3m (No. 221)
Unique sites:
Rb1 0.000 0.000 0.000 x1
Hf1 0.000 0.000 0.500 x3
Hg1 0.500 0.500 0.500 x1



A plane-wave DFT calculation with GGA-PBE was carried out for a relaxed structure of Ac3CuP2N6.

Calculated values
N(E_F) (states/eV per atom): 0.249
Magnetization (Bohr magnetons per cell): 0.00
Formation energy from raw total energies (eV/atom): -0.759

Cell: 5.7272 5.7272 6.6423 Å, 90.00 90.00 120.00°
Space group P-3m1 (No. 164)
Unique sites:
Ac1 0.0000 0.0000 0.0000 x1
Ac2 0.3333 0.6667 0.6576 x2
Cu1 0.0000 0.0000 0.5000 x1
P1 0.3333 0.6667 0.2103 x2
N1 0.1757 0.3514 0.2907 x6



A plane-wave DFT calculation with GGA-PBE was carried out for a relaxed structure of La4NdIn5.

Calculated values
N(E_F) (states/eV per atom): 0.637
Magnetization (Bohr magnetons per cell): 0.00
Formation energy (eV/atom): -0.512

Cell: 3.932 3.932 19.752 Å, 90.00 90.00 90.00°
Space group P4/mmm (No. 123)
Unique sites:
La1 0.000 0.000 0.101 x2
La2 0.000 0.000 0.303 x2
Nd1 0.000 0.000 0.500 x1
In1 0.500 0.500 0.000 x1
In2 0.500 0.500 0.202 x2
In3 0.500 0.500 0.405 x2